# MnTlCl3, single point on PBEsol structure, DFT meta-GGA SCAN
data_MnTlCl3
_symmetry_space_group_name_H-M 'P 1'
_symmetry_Int_Tables_number 1
_cell_length_a 6.979
_cell_length_b 9.924
_cell_length_c 6.914
_cell_angle_alpha 90.00
_cell_angle_beta 90.00
_cell_angle_gamma 90.00
loop_
_symmetry_equiv_pos_as_xyz
'x,y,z'
loop_
_atom_site_label
_atom_site_fract_x
_atom_site_fract_y
_atom_site_fract_z
_atom_site_occupancy
Mn1 0.000 0.000 0.000 1
Mn2 0.000 0.500 0.000 1
Mn3 0.500 0.000 0.500 1
Mn4 0.500 0.500 0.500 1
Tl1 0.041 0.250 0.491 1
Tl2 0.459 0.750 0.991 1
Tl3 0.541 0.250 0.009 1
Tl4 0.959 0.750 0.509 1
Cl1 0.001 0.750 0.049 1
Cl2 0.213 0.524 0.713 1
Cl3 0.213 0.976 0.713 1
Cl4 0.287 0.024 0.213 1
Cl5 0.287 0.476 0.213 1
Cl6 0.499 0.250 0.549 1
Cl7 0.501 0.750 0.451 1
Cl8 0.713 0.524 0.787 1
Cl9 0.713 0.976 0.787 1
Cl10 0.787 0.024 0.287 1
Cl11 0.787 0.476 0.287 1
Cl12 0.999 0.250 0.951 1
# Formation energy (no corrections) (meV per atom): -1397